(1)
Compound: SnHRh3
Source: the Alexandria database
Functional: PBE-GGA
Structure: optimized geometry

Cell: 7.172 5.037 7.365 Å, 90.00 100.21 90.00°
Fractional coordinates of all 20 atoms:
Sn (0.092, 0.107, 0.196)
Sn (0.092, 0.393, 0.696)
Sn (0.908, 0.607, 0.304)
Sn (0.908, 0.893, 0.804)
H (0.440, 0.726, 0.071)
H (0.440, 0.774, 0.571)
H (0.560, 0.226, 0.429)
H (0.560, 0.274, 0.929)
Rh (0.177, 0.609, 0.070)
Rh (0.177, 0.891, 0.570)
Rh (0.310, 0.077, 0.933)
Rh (0.310, 0.423, 0.433)
Rh (0.447, 0.598, 0.814)
Rh (0.447, 0.902, 0.314)
Rh (0.553, 0.098, 0.686)
Rh (0.553, 0.402, 0.186)
Rh (0.690, 0.577, 0.567)
Rh (0.690, 0.923, 0.067)
Rh (0.823, 0.109, 0.430)
Rh (0.823, 0.391, 0.930)

Computed properties:
polymorph energy (0 for the lowest one)	1.00	eV/f.u.
Fermi-level density of states	4.5	states/eV/f.u.

(2)
Compound: SnHRh3
Source: the Alexandria database
Functional: PBE-GGA
Structure: optimized geometry

Cell: 7.196 7.196 5.729 Å, 101.55 101.55 72.22°
Fractional coordinates of all 20 atoms:
Sn (0.014, 0.986, 0.750)
Sn (0.374, 0.626, 0.250)
Sn (0.626, 0.374, 0.750)
Sn (0.986, 0.014, 0.250)
H (0.176, 0.503, 0.672)
H (0.497, 0.824, 0.828)
H (0.503, 0.176, 0.172)
H (0.824, 0.497, 0.328)
Rh (0.021, 0.666, 0.418)
Rh (0.021, 0.667, 0.927)
Rh (0.318, 0.321, 0.910)
Rh (0.321, 0.318, 0.410)
Rh (0.333, 0.979, 0.573)
Rh (0.334, 0.979, 0.082)
Rh (0.666, 0.021, 0.918)
Rh (0.667, 0.021, 0.427)
Rh (0.679, 0.682, 0.590)
Rh (0.682, 0.679, 0.090)
Rh (0.979, 0.333, 0.073)
Rh (0.979, 0.334, 0.582)

Computed properties:
polymorph energy (0 for the lowest one)	0.92	eV/f.u.
Fermi-level density of states	5.2	states/eV/f.u.